## LiMn3O (PBE+U)

Data for a geometry-optimized LiMn3O structure.

Calculated values
Total energy (eV/cell): -29.88
M_tot (μB/atom): 2.760
Space-group type: Pm-3m
ΔE to the lowest computed polymorph (eV/atom): 0.0000

POSCAR file:
```
LiMn3O
1.0
-0.138 -4.225 1.199
0.710 -1.205 -4.166
4.334 0.063 0.721
Mn O Li
3 1 1
Cartesian
0.355 -0.602 -2.083
2.167 0.032 0.361
-0.069 -2.113 0.599
0.000 0.000 0.000
2.453 -2.684 -1.123
```